No. 1
{"formula": "ThTaZn", "functional": "GGA-PBE", "state": "relaxed", "mass_density_g_cm3": 11.02, "energy_ev_per_atom": -6.291, "space_group": "F-43m", "crystal_system": "cubic", "ef_kj_per_mol_atoms": 53, "lattice": [[1.878, -2.749, -3.276], [1.868, -4.112, 1.191], [-2.131, -3.974, -1.218]], "species": ["Ta", "Zn", "Th"], "frac_coords": [[0.000, 0.000, 0.000], [0.750, 0.750, 0.750], [0.500, 0.500, 0.500]]}

***

No. 2
{"formula": "ThZrTa", "functional": "GGA-PBE", "state": "relaxed", "mass_density_g_cm3": 10.07, "energy_ev_per_atom": -8.004, "space_group": "F-43m", "crystal_system": "cubic", "ef_kj_per_mol_atoms": 122, "lattice": [[2.509, -4.049, 1.146], [-1.472, -2.821, 3.725], [-1.935, -4.413, -0.885]], "species": ["Zr", "Ta", "Th"], "frac_coords": [[0.500, 0.500, 0.500], [0.000, 0.000, 0.000], [0.750, 0.750, 0.750]]}

***

No. 3
{"formula": "ZrTa2Tl", "functional": "GGA-PBE", "state": "relaxed", "mass_density_g_cm3": 13.59, "energy_ev_per_atom": -8.368, "space_group": "F-43m", "crystal_system": "cubic", "lattice": [[-4.482, -1.326, -1.266], [-3.573, 3.270, -0.039], [-1.869, 1.494, -4.211]], "species": ["Tl", "Zr", "Ta", "Ta"], "frac_coords": [[0.500, 0.500, 0.500], [0.250, 0.250, 0.250], [0.750, 0.750, 0.750], [0.000, 0.000, 0.000]]}

***

No. 4
{"formula": "ZrTaTl2", "functional": "GGA-PBE", "state": "relaxed", "mass_density_g_cm3": 12.51, "energy_ev_per_atom": -5.531, "space_group": "F-43m", "crystal_system": "cubic", "lattice": [[0.000, 3.562, 3.562], [3.562, 0.000, 3.562], [3.562, 3.562, 0.000]], "species": ["Tl", "Tl", "Ta", "Zr"], "frac_coords": [[0.000, 0.000, 0.000], [0.250, 0.250, 0.250], [0.500, 0.500, 0.500], [0.750, 0.750, 0.750]]}

***

No. 5
{"formula": "TmTa", "functional": "GGA-PBE", "state": "relaxed", "de_polymorph_mev_per_atom": 2078, "mass_density_g_cm3": 8.46, "energy_ev_per_atom": -5.244, "space_group": "F-43m", "crystal_system": "cubic", "ef_kj_per_mol_atoms": 282, "lattice": [[0.000, 3.251, 3.251], [3.251, 0.000, 3.251], [3.251, 3.251, 0.000]], "species": ["Ta", "Tm"], "frac_coords": [[0.000, 0.000, 0.000], [0.250, 0.250, 0.250]]}

***

No. 6
{"formula": "TmTa3", "functional": "GGA-PBE", "state": "relaxed", "mass_density_g_cm3": 14.56, "energy_ev_per_atom": -9.555, "space_group": "I4/mmm", "crystal_system": "tetragonal", "ef_kj_per_mol_atoms": 44, "lattice": [[-2.106, 2.106, 4.574], [2.106, -2.106, 4.574], [2.106, 2.106, -4.574]], "species": ["Ta", "Ta", "Ta", "Tm"], "frac_coords": [[0.250, 0.750, 0.500], [0.500, 0.500, 0.000], [0.750, 0.250, 0.500], [0.000, 0.000, 0.000]]}

***

No. 7
{"formula": "TmTa", "functional": "GGA-PBE", "state": "relaxed", "de_polymorph_mev_per_atom": 359, "mass_density_g_cm3": 13.60, "energy_ev_per_atom": -6.963, "space_group": "P6_3/mmc", "crystal_system": "hexagonal", "ef_kj_per_mol_atoms": 116, "lattice": [[-2.701, -1.951, -1.279], [2.919, 0.525, -1.986], [3.193, -6.388, 3.002]], "species": ["Ta", "Ta", "Tm", "Tm"], "frac_coords": [[0.667, 0.333, 0.250], [0.333, 0.667, 0.750], [0.000, 0.000, 0.000], [0.000, 0.000, 0.500]]}

***

No. 8
{"formula": "TmTa", "functional": "GGA-PBE", "state": "relaxed", "de_polymorph_mev_per_atom": 0, "mass_density_g_cm3": 10.44, "energy_ev_per_atom": -7.322, "space_group": "P6_3/mmc", "crystal_system": "hexagonal", "ef_kj_per_mol_atoms": 81, "lattice": [[5.094, 0.000, 0.000], [-2.547, 4.412, 0.000], [0.000, 0.000, 4.952]], "species": ["Ta", "Ta", "Tm", "Tm"], "frac_coords": [[0.000, 0.000, 0.500], [0.000, 0.000, 0.000], [0.333, 0.667, 0.750], [0.667, 0.333, 0.250]]}